## Dy4PdRh2 (PBE)

Data for crystalline Dy4PdRh2 at its relaxed geometry.

Excess energy over the best structure of this formula in the dataset   0.000 eV per atom
M_tot   0.00 Bohr magnetons per cell
Calculated total energy   -87.5 eV for the cell shown

Lattice parameters (Å, degrees): 7.482 7.482 7.482 109.80 109.31 109.31
Sites, in units of the cell vectors:
Dy  0.002  0.881  0.507
Dy  0.126  0.121  0.119
Dy  0.374  0.493  0.994
Dy  0.498  0.005  0.880
Dy  0.502  0.007  0.381
Dy  0.626  0.619  0.620
Dy  0.874  0.495  0.993
Dy  0.998  0.379  0.506
Pd  0.250  0.625  0.375
Pd  0.750  0.875  0.125
Rh  0.128  0.750  0.878
Rh  0.372  0.250  0.622
Rh  0.629  0.379  0.250
Rh  0.871  0.121  0.750